(1)
Compound: FeNiGeOs
Source: OQMD via LeMat-Bulk
Functional: PBE-GGA
Structure: relaxed

Cell lengths 4.158, 4.158, 4.158 Å; angles 60.00, 60.00, 60.00 degrees
Sites, in units of the cell vectors:
Fe (0.750, 0.750, 0.750)
Ge (0.000, 0.000, 0.000)
Ni (0.500, 0.500, 0.500)
Os (0.250, 0.250, 0.250)

Energy above the most stable polymorph in this dataset: 0.0000 eV/atom
Crystal system: cubic
Total magnetic moment: 2.560 Bohr magnetons per cell

---

(2)
Compound: HgIr15
Source: OQMD via LeMat-Bulk
Functional: PBE-GGA
Structure: relaxed

Cell lengths 3.863, 3.863, 44.515 Å; angles 90.00, 90.00, 90.00 degrees
Sites, in units of the cell vectors:
Hg (0.250, 0.000, 0.157)
Hg (0.750, 0.000, 0.843)
Ir (0.750, 0.500, 0.176)
Ir (0.750, 0.000, 0.217)
Ir (0.250, 0.500, 0.217)
Ir (0.250, 0.000, 0.260)
Ir (0.750, 0.500, 0.260)
Ir (0.750, 0.000, 0.304)
Ir (0.250, 0.500, 0.304)
Ir (0.750, 0.500, 0.347)
Ir (0.250, 0.000, 0.347)
Ir (0.250, 0.500, 0.391)
Ir (0.750, 0.000, 0.391)
Ir (0.250, 0.000, 0.434)
Ir (0.750, 0.500, 0.434)
Ir (0.750, 0.000, 0.478)
Ir (0.250, 0.500, 0.478)
Ir (0.750, 0.500, 0.522)
Ir (0.250, 0.000, 0.522)
Ir (0.250, 0.500, 0.566)
Ir (0.750, 0.000, 0.566)
Ir (0.250, 0.000, 0.609)
Ir (0.750, 0.500, 0.609)
Ir (0.750, 0.000, 0.653)
Ir (0.250, 0.500, 0.653)
Ir (0.750, 0.500, 0.696)
Ir (0.250, 0.000, 0.696)
Ir (0.250, 0.500, 0.740)
Ir (0.750, 0.000, 0.740)
Ir (0.750, 0.500, 0.783)
Ir (0.250, 0.000, 0.783)
Ir (0.250, 0.500, 0.824)

Energy above the most stable polymorph in this dataset: 0.0000 eV/atom
Crystal system: orthorhombic
Total magnetic moment: 0.015 Bohr magnetons per cell

---

(3)
Compound: LuOsNO
Source: OQMD via LeMat-Bulk
Functional: PBE-GGA
Structure: relaxed

Cell lengths 3.789, 3.789, 7.283 Å; angles 90.00, 90.00, 90.00 degrees
Sites, in units of the cell vectors:
Lu (0.250, 0.250, 0.144)
Lu (0.750, 0.750, 0.856)
N (0.750, 0.750, 0.369)
N (0.250, 0.250, 0.631)
O (0.750, 0.250, 0.000)
O (0.250, 0.750, 0.000)
Os (0.750, 0.250, 0.500)
Os (0.250, 0.750, 0.500)

Energy above the most stable polymorph in this dataset: 0.0000 eV/atom
Crystal system: tetragonal
Total magnetic moment: 0.000 Bohr magnetons per cell

---

(4)
Compound: Nb3TlSn5
Source: OQMD via LeMat-Bulk
Functional: PBE-GGA
Structure: relaxed

Cell lengths 5.822, 5.822, 7.557 Å; angles 90.00, 90.00, 120.00 degrees
Sites, in units of the cell vectors:
Nb (0.500, 0.000, 0.500)
Nb (0.000, 0.500, 0.500)
Nb (0.500, 0.500, 0.500)
Sn (0.667, 0.333, 0.190)
Sn (0.333, 0.667, 0.190)
Sn (0.000, 0.000, 0.500)
Sn (0.667, 0.333, 0.810)
Sn (0.333, 0.667, 0.810)
Tl (0.000, 0.000, 0.000)

Crystal system: hexagonal
VASP energy: -5.8358 eV per atom
Total magnetic moment: 0.017 Bohr magnetons per cell

---

(5)
Compound: Zr2AgBi2
Source: OQMD via LeMat-Bulk
Functional: PBE-GGA
Structure: relaxed

Cell lengths 7.265, 7.265, 7.265 Å; angles 141.76, 141.76, 55.19 degrees
Sites, in units of the cell vectors:
Ag (0.000, 0.000, 0.000)
Bi (0.383, 0.383, 0.000)
Bi (0.617, 0.617, 0.000)
Zr (0.750, 0.250, 0.500)
Zr (0.250, 0.750, 0.500)

Crystal system: tetragonal
VASP energy: -5.3692 eV per atom
Total magnetic moment: 0.039 Bohr magnetons per cell

---

(6)
Compound: TmTlZnTe3
Source: OQMD via LeMat-Bulk
Functional: PBE-GGA
Structure: relaxed

Cell lengths 10.590, 4.423, 16.548 Å; angles 90.00, 90.00, 90.00 degrees
Sites, in units of the cell vectors:
Te (0.161, 0.750, 0.025)
Te (0.491, 0.250, 0.107)
Te (0.811, 0.750, 0.204)
Te (0.311, 0.750, 0.296)
Te (0.991, 0.250, 0.393)
Te (0.661, 0.750, 0.475)
Te (0.339, 0.250, 0.525)
Te (0.009, 0.750, 0.607)
Te (0.689, 0.250, 0.704)
Te (0.189, 0.250, 0.796)
Te (0.509, 0.750, 0.893)
Te (0.839, 0.250, 0.975)
Tl (0.051, 0.250, 0.190)
Tl (0.551, 0.250, 0.310)
Tl (0.449, 0.750, 0.690)
Tl (0.949, 0.750, 0.810)
Tm (0.679, 0.750, 0.046)
Tm (0.179, 0.750, 0.454)
Tm (0.821, 0.250, 0.546)
Tm (0.321, 0.250, 0.954)
Zn (0.331, 0.750, 0.140)
Zn (0.831, 0.750, 0.360)
Zn (0.169, 0.250, 0.640)
Zn (0.669, 0.250, 0.860)

Energy above the most stable polymorph in this dataset: 0.0921 eV/atom
Crystal system: orthorhombic
Total magnetic moment: 0.007 Bohr magnetons per cell

---

(7)
Compound: YTlCuPd
Source: OQMD via LeMat-Bulk
Functional: PBE-GGA
Structure: relaxed

Cell lengths 4.862, 4.862, 4.862 Å; angles 60.00, 60.00, 60.00 degrees
Sites, in units of the cell vectors:
Cu (0.750, 0.750, 0.750)
Pd (0.500, 0.500, 0.500)
Tl (0.000, 0.000, 0.000)
Y (0.250, 0.250, 0.250)

Energy above the most stable polymorph in this dataset: 0.1452 eV/atom
Crystal system: cubic
Total magnetic moment: 0.001 Bohr magnetons per cell

---

(8)
Compound: ThGa3S
Source: OQMD via LeMat-Bulk
Functional: PBE-GGA
Structure: relaxed

Cell lengths 4.820, 4.820, 4.820 Å; angles 90.00, 90.00, 90.00 degrees
Sites, in units of the cell vectors:
Ga (0.500, 0.000, 0.000)
Ga (0.000, 0.500, 0.000)
Ga (0.000, 0.000, 0.500)
S (0.000, 0.000, 0.000)
Th (0.500, 0.500, 0.500)

Crystal system: cubic
VASP energy: -4.0273 eV per atom
Total magnetic moment: 0.005 Bohr magnetons per cell

---

(9)
Compound: HgP2O6
Source: OQMD via LeMat-Bulk
Functional: PBE-GGA
Structure: relaxed

Cell lengths 5.138, 5.138, 6.356 Å; angles 98.37, 98.37, 42.08 degrees
Sites, in units of the cell vectors:
Hg (0.000, 0.000, 0.000)
O (0.647, 0.647, 0.159)
O (0.919, 0.919, 0.302)
O (0.257, 0.257, 0.411)
O (0.743, 0.743, 0.589)
O (0.081, 0.081, 0.698)
O (0.353, 0.353, 0.841)
P (0.769, 0.769, 0.340)
P (0.231, 0.231, 0.660)

Crystal system: monoclinic
VASP energy: -6.0511 eV per atom

---

(10)
Compound: InFeNiAu
Source: OQMD via LeMat-Bulk
Functional: PBE-GGA
Structure: relaxed

Cell lengths 4.424, 4.424, 4.424 Å; angles 60.00, 60.00, 60.00 degrees
Sites, in units of the cell vectors:
Au (0.500, 0.500, 0.500)
Fe (0.750, 0.750, 0.750)
In (0.000, 0.000, 0.000)
Ni (0.250, 0.250, 0.250)

Energy above the most stable polymorph in this dataset: 0.0000 eV/atom
Crystal system: cubic
Total magnetic moment: 2.827 Bohr magnetons per cell

---

(11)
Compound: NdY2IrPd2Pb3
Source: OQMD via LeMat-Bulk
Functional: PBE-GGA
Structure: relaxed

Cell lengths 3.936, 7.843, 7.843 Å; angles 120.04, 90.00, 90.00 degrees
Sites, in units of the cell vectors:
Ir (0.000, 0.997, 0.997)
Nd (0.000, 0.400, 0.400)
Pb (0.500, 0.998, 0.263)
Pb (0.500, 0.738, 0.738)
Pb (0.500, 0.263, 0.998)
Pd (0.500, 0.670, 0.332)
Pd (0.500, 0.332, 0.670)
Y (0.000, 0.603, 0.000)
Y (0.000, 0.000, 0.603)

Crystal system: orthorhombic
VASP energy: -6.0052 eV per atom
Total magnetic moment: 0.004 Bohr magnetons per cell

---

(12)
Compound: HoTlCuSe3
Source: OQMD via LeMat-Bulk
Functional: PBE-GGA
Structure: relaxed

Cell lengths 9.058, 4.016, 9.535 Å; angles 90.00, 109.05, 90.00 degrees
Sites, in units of the cell vectors:
Cu (0.917, 0.750, 0.402)
Cu (0.083, 0.250, 0.598)
Ho (0.678, 0.250, 0.148)
Ho (0.322, 0.750, 0.852)
Se (0.895, 0.750, 0.139)
Se (0.462, 0.750, 0.165)
Se (0.801, 0.250, 0.471)
Se (0.199, 0.750, 0.529)
Se (0.538, 0.250, 0.835)
Se (0.105, 0.250, 0.861)
Tl (0.208, 0.250, 0.229)
Tl (0.792, 0.750, 0.771)

Crystal system: monoclinic
VASP energy: -4.4525 eV per atom
Total magnetic moment: 0.012 Bohr magnetons per cell

---

(13)
Compound: ScZnInTe3
Source: OQMD via LeMat-Bulk
Functional: PBE-GGA
Structure: relaxed

Cell lengths 15.267, 4.235, 11.329 Å; angles 90.00, 90.00, 90.00 degrees
Sites, in units of the cell vectors:
In (0.239, 0.750, 0.047)
In (0.739, 0.750, 0.453)
In (0.261, 0.250, 0.547)
In (0.761, 0.250, 0.953)
Sc (0.523, 0.750, 0.157)
Sc (0.023, 0.750, 0.343)
Sc (0.977, 0.250, 0.657)
Sc (0.477, 0.250, 0.843)
Te (0.402, 0.250, 0.077)
Te (0.908, 0.750, 0.121)
Te (0.645, 0.250, 0.240)
Te (0.145, 0.250, 0.260)
Te (0.408, 0.750, 0.379)
Te (0.902, 0.250, 0.423)
Te (0.098, 0.750, 0.577)
Te (0.592, 0.250, 0.621)
Te (0.855, 0.750, 0.740)
Te (0.355, 0.750, 0.760)
Te (0.092, 0.250, 0.879)
Te (0.598, 0.750, 0.923)
Zn (0.017, 0.250, 0.101)
Zn (0.517, 0.250, 0.399)
Zn (0.483, 0.750, 0.601)
Zn (0.983, 0.750, 0.899)

Energy above the most stable polymorph in this dataset: 0.0097 eV/atom
Crystal system: orthorhombic
Total magnetic moment: 0.008 Bohr magnetons per cell

---

(14)
Compound: HfZn2Bi
Source: OQMD via LeMat-Bulk
Functional: PBE-GGA
Structure: relaxed

Cell lengths 4.937, 4.937, 4.937 Å; angles 60.00, 60.00, 60.00 degrees
Sites, in units of the cell vectors:
Bi (0.500, 0.500, 0.500)
Hf (0.250, 0.250, 0.250)
Zn (0.000, 0.000, 0.000)
Zn (0.750, 0.750, 0.750)

Crystal system: cubic
VASP energy: -3.8237 eV per atom
Total magnetic moment: 0.012 Bohr magnetons per cell

---

(15)
Compound: LaZrOs
Source: OQMD via LeMat-Bulk
Functional: PBE-GGA
Structure: relaxed

Cell lengths 4.632, 4.632, 4.632 Å; angles 60.00, 60.00, 60.00 degrees
Sites, in units of the cell vectors:
La (0.000, 0.000, 0.000)
Os (0.250, 0.250, 0.250)
Zr (0.750, 0.750, 0.750)

Crystal system: cubic
VASP energy: -7.2246 eV per atom
Total magnetic moment: 0.003 Bohr magnetons per cell

---

(16)
Compound: CsBeCd3As3
Source: OQMD via LeMat-Bulk
Functional: PBE-GGA
Structure: relaxed

Cell lengths 4.322, 4.519, 10.874 Å; angles 90.00, 90.00, 90.00 degrees
Sites, in units of the cell vectors:
As (0.500, 0.000, 0.304)
As (0.500, 0.000, 0.716)
As (0.000, 0.500, 0.988)
Be (0.000, 0.000, 0.830)
Cd (0.000, 0.000, 0.151)
Cd (0.500, 0.500, 0.165)
Cd (0.500, 0.500, 0.841)
Cs (0.000, 0.500, 0.505)

Crystal system: orthorhombic
VASP energy: -2.8029 eV per atom

---

(17)
Compound: Tm3SnPd4
Source: OQMD via LeMat-Bulk
Functional: PBE-GGA
Structure: relaxed

Cell lengths 5.580, 4.420, 6.639 Å; angles 90.00, 90.02, 90.00 degrees
Sites, in units of the cell vectors:
Pd (0.653, 0.000, 0.058)
Pd (0.159, 0.500, 0.457)
Pd (0.843, 0.000, 0.529)
Pd (0.345, 0.500, 0.961)
Sn (0.637, 0.500, 0.327)
Tm (0.141, 0.000, 0.177)
Tm (0.366, 0.000, 0.675)
Tm (0.856, 0.500, 0.817)

Crystal system: monoclinic
VASP energy: -5.6510 eV per atom
Total magnetic moment: 0.012 Bohr magnetons per cell

---

(18)
Compound: GdBNO
Source: OQMD via LeMat-Bulk
Functional: PBE-GGA
Structure: relaxed

Cell lengths 2.801, 5.356, 5.785 Å; angles 90.00, 90.00, 90.00 degrees
Sites, in units of the cell vectors:
B (0.500, 0.957, 0.267)
B (0.500, 0.457, 0.733)
Gd (0.000, 0.471, 0.240)
Gd (0.000, 0.971, 0.760)
N (0.000, 0.033, 0.351)
N (0.000, 0.533, 0.649)
O (0.500, 0.793, 0.071)
O (0.500, 0.293, 0.929)

Energy above the most stable polymorph in this dataset: 0.3621 eV/atom
Crystal system: orthorhombic
Total magnetic moment: 0.001 Bohr magnetons per cell

---

(19)
Compound: Li2Tb
Source: OQMD via LeMat-Bulk
Functional: PBE-GGA
Structure: relaxed

Cell lengths 7.673, 7.673, 4.940 Å; angles 90.00, 90.00, 152.98 degrees
Sites, in units of the cell vectors:
Li (0.743, 0.257, 0.250)
Li (0.107, 0.893, 0.250)
Li (0.893, 0.107, 0.750)
Li (0.257, 0.743, 0.750)
Tb (0.428, 0.572, 0.250)
Tb (0.572, 0.428, 0.750)

Energy above the most stable polymorph in this dataset: 0.0406 eV/atom
Crystal system: orthorhombic
Total magnetic moment: 0.113 Bohr magnetons per cell

---

(20)
Compound: MgHgTeO
Source: OQMD via LeMat-Bulk
Functional: PBE-GGA
Structure: relaxed

Cell lengths 6.160, 8.265, 7.949 Å; angles 90.00, 90.00, 90.00 degrees
Sites, in units of the cell vectors:
Hg (0.369, 0.689, 0.153)
Hg (0.631, 0.189, 0.347)
Hg (0.131, 0.311, 0.653)
Hg (0.869, 0.811, 0.847)
Mg (0.199, 0.221, 0.077)
Mg (0.801, 0.721, 0.423)
Mg (0.301, 0.779, 0.577)
Mg (0.699, 0.279, 0.923)
O (0.504, 0.208, 0.093)
O (0.496, 0.708, 0.407)
O (0.996, 0.792, 0.593)
O (0.004, 0.292, 0.907)
Te (0.995, 0.912, 0.157)
Te (0.005, 0.412, 0.343)
Te (0.505, 0.088, 0.657)
Te (0.495, 0.588, 0.843)

Energy above the most stable polymorph in this dataset: 0.1558 eV/atom
Crystal system: orthorhombic

---

(21)
Compound: FeCu2Ge
Source: OQMD via LeMat-Bulk
Functional: PBE-GGA
Structure: relaxed

Cell lengths 4.088, 4.088, 4.088 Å; angles 60.00, 60.00, 60.00 degrees
Sites, in units of the cell vectors:
Cu (0.000, 0.000, 0.000)
Cu (0.750, 0.750, 0.750)
Fe (0.250, 0.250, 0.250)
Ge (0.500, 0.500, 0.500)

Crystal system: cubic
VASP energy: -4.9918 eV per atom
Total magnetic moment: 1.823 Bohr magnetons per cell

---

(22)
Compound: PmScGe
Source: OQMD via LeMat-Bulk
Functional: PBE-GGA
Structure: relaxed

Cell lengths 4.822, 4.822, 4.822 Å; angles 60.00, 60.00, 60.00 degrees
Sites, in units of the cell vectors:
Ge (0.250, 0.250, 0.250)
Pm (0.750, 0.750, 0.750)
Sc (0.000, 0.000, 0.000)

Crystal system: cubic
VASP energy: -5.0596 eV per atom
Total magnetic moment: 1.559 Bohr magnetons per cell

---

(23)
Compound: Hf2CoGe2
Source: OQMD via LeMat-Bulk
Functional: PBE-GGA
Structure: relaxed

Cell lengths 4.285, 4.285, 6.372 Å; angles 109.65, 109.65, 90.00 degrees
Sites, in units of the cell vectors:
Co (0.000, 0.000, 0.000)
Ge (0.604, 0.604, 0.209)
Ge (0.396, 0.396, 0.791)
Hf (0.750, 0.250, 0.500)
Hf (0.250, 0.750, 0.500)

Crystal system: tetragonal
VASP energy: -6.7574 eV per atom
Total magnetic moment: 0.089 Bohr magnetons per cell